Entry 1:
Below is crystalline Tb7Ho2Er2 at its relaxed geometry, with properties calculated at the PBE level.

Properties
SG: No. 12
Formation enthalpy at 0 K: 0.1600 eV/atom
Energy above the most stable polymorph in this dataset: 5.0 kJ/mol of atoms

POSCAR file:
```
Tb7Ho2Er2
1.0
0.658 5.886 0.970
-8.308 -2.334 -7.100
-7.787 -1.478 0.803
Er Ho Tb
2 2 7
Cartesian
-4.335 3.352 -3.378
-3.315 0.200 -2.752
-9.556 0.474 -4.725
-5.881 1.600 -0.602
-8.004 2.786 -3.009
-4.078 3.934 0.814
-7.433 -0.712 -2.318
0.000 0.000 0.000
-11.359 -1.860 -6.141
-1.537 2.926 -1.074
-6.113 0.626 -5.056
```

***

Entry 2:
Below is crystalline Tb3Ho5Er2 at its relaxed geometry, with properties calculated at the PBE level.

Properties
SG: No. 72
Formation enthalpy at 0 K: 0.3561 eV/atom
Energy above the most stable polymorph in this dataset: 14.8 kJ/mol of atoms

POSCAR file:
```
Tb3Ho5Er2
1.0
6.222 0.000 0.000
3.111 10.142 -2.813
3.111 -0.021 10.525
Tb Er Ho
6 4 10
Cartesian
1.555 0.000 0.000
3.111 0.901 5.974
9.332 9.220 1.738
6.222 4.122 8.428
4.666 0.000 0.000
6.222 5.999 -0.716
6.222 9.558 0.042
9.332 2.577 9.205
3.111 7.544 -1.493
6.222 0.563 7.670
3.111 5.650 1.005
7.777 7.588 5.781
9.332 4.471 6.707
7.777 5.061 3.856
4.666 7.588 5.781
6.222 2.468 5.181
6.222 7.653 2.531
7.777 2.533 1.930
4.666 2.533 1.930
4.666 5.061 3.856
```

***

Entry 3:
Below is crystalline Tb7Ho2Er at its relaxed geometry, with properties calculated at the PBE level.

Properties
SG: No. 71
Formation enthalpy at 0 K: 0.0521 eV/atom
Energy above the most stable polymorph in this dataset: 0.0 kJ/mol of atoms

POSCAR file:
```
Tb7Ho2Er
1.0
5.132 -1.506 0.883
-2.889 7.462 -3.775
1.243 -0.024 9.357
Tb Er Ho
7 1 2
Cartesian
3.566 4.455 3.496
1.121 2.978 -1.446
-0.081 1.477 2.970
0.405 4.391 5.118
-0.928 6.029 -0.985
4.413 -0.097 7.451
3.080 1.541 1.347
0.000 0.000 0.000
2.443 1.472 4.933
1.042 4.459 1.533
```

***

Entry 4:
Below is crystalline TbHoEr5 at its relaxed geometry, with properties calculated at the PBE level.

Properties
SG: No. 71
Formation enthalpy at 0 K: 1.1427 eV/atom
Energy above the most stable polymorph in this dataset: 90.9 kJ/mol of atoms

POSCAR file:
```
TbHoEr5
1.0
-5.586 1.108 0.621
-3.343 -4.915 5.115
-1.523 3.216 6.988
Er Ho Tb
5 1 1
Cartesian
-2.433 -0.850 6.052
-5.050 -0.982 9.169
-4.640 2.324 6.966
-5.402 0.390 3.555
-5.813 -2.915 5.759
-5.226 -0.296 6.362
0.000 0.000 0.000
```

***

Entry 5:
Below is crystalline Tb4HoEr3 at its relaxed geometry, with properties calculated at the PBE level.

Properties
SG: No. 65
Formation enthalpy at 0 K: 0.2031 eV/atom
Energy above the most stable polymorph in this dataset: 19.0 kJ/mol of atoms

POSCAR file:
```
Tb4HoEr3
1.0
5.471 0.000 -1.090
-0.065 3.537 -0.325
-0.222 1.206 13.149
Ho Er Tb
1 3 4
Cartesian
2.736 0.000 -0.545
4.410 4.370 7.851
-0.032 1.768 -0.162
0.775 0.372 3.883
3.222 2.017 1.894
3.824 2.309 4.914
1.361 2.433 6.820
1.963 2.725 9.840
```

***

Entry 6:
Below is crystalline Tb4Ho7Er2 at its relaxed geometry, with properties calculated at the PBE level.

Properties
SG: No. 162
Formation enthalpy at 0 K: 0.1649 eV/atom

POSCAR file:
```
Tb4Ho7Er2
1.0
6.024 0.000 0.000
-3.012 5.217 0.000
0.000 0.000 13.141
Tb Ho Er
4 7 2
Cartesian
0.000 0.000 7.979
3.012 1.739 6.570
0.000 3.478 6.571
3.012 5.217 5.161
0.867 5.217 10.322
0.000 0.000 0.000
2.145 0.000 2.819
1.072 1.858 10.322
4.084 3.359 10.322
-1.072 1.858 2.819
1.939 3.359 2.819
3.012 1.739 0.000
0.000 3.478 0.000
```

***

Entry 7:
Below is crystalline TbHo3Er4 at its relaxed geometry, with properties calculated at the PBE level.

Properties
SG: No. 65
Formation enthalpy at 0 K: 0.2120 eV/atom
Energy above the most stable polymorph in this dataset: 20.3 kJ/mol of atoms

POSCAR file:
```
TbHo3Er4
1.0
5.455 0.000 -1.087
-0.063 3.501 -0.314
-0.211 1.180 13.170
Er Tb Ho
4 1 3
Cartesian
3.820 2.278 4.939
1.963 2.684 9.846
1.361 2.403 6.830
3.219 1.997 1.923
2.728 0.000 -0.544
0.783 0.370 3.928
4.399 4.311 7.841
-0.031 1.751 -0.157
```

***

Entry 8:
Below is crystalline Tb2Ho12Er5 at its relaxed geometry, with properties calculated at the PBE level.

Properties
SG: No. 2
Formation enthalpy at 0 K: 0.0925 eV/atom
Energy above the most stable polymorph in this dataset: 0.0 kJ/mol of atoms

POSCAR file:
```
Tb2Ho12Er5
1.0
6.210 1.591 -0.611
-1.076 7.702 -4.027
-0.833 0.345 11.742
Ho Tb Er
12 2 5
Cartesian
5.511 4.440 -0.556
-1.224 7.168 4.971
3.333 6.505 -2.340
3.341 6.558 1.010
0.403 4.797 3.012
5.524 2.470 2.133
1.718 8.252 3.382
3.898 4.841 4.091
2.582 1.386 3.721
0.968 3.133 9.443
0.959 3.080 6.094
-1.211 5.198 7.660
3.750 1.627 10.747
0.550 8.011 -3.644
-0.416 0.172 5.871
0.298 5.854 -0.627
2.641 3.429 0.920
4.003 3.784 7.730
1.659 6.209 6.184
```

***

Entry 9:
Below is crystalline TbHo4Er at its relaxed geometry, with properties calculated at the PBE level.

Properties
SG: No. 216
Formation enthalpy at 0 K: 0.2694 eV/atom
Energy above the most stable polymorph in this dataset: 25.7 kJ/mol of atoms

POSCAR file:
```
TbHo4Er
1.0
-2.000 -5.888 1.921
4.242 -4.184 2.617
-0.321 -1.419 6.344
Ho Er Tb
4 1 1
Cartesian
1.201 -7.182 6.801
2.201 -4.237 5.841
-0.921 -5.089 5.492
1.361 -6.473 3.629
0.000 0.000 0.000
0.480 -2.873 2.720
```

***

Entry 10:
Below is crystalline Tb5HoEr2 at its relaxed geometry, with properties calculated at the PBE level.

Properties
SG: No. 55
Formation enthalpy at 0 K: 0.0154 eV/atom
Energy above the most stable polymorph in this dataset: 0.0 kJ/mol of atoms

POSCAR file:
```
Tb5HoEr2
1.0
-3.336 3.630 -0.790
-4.748 -4.815 -2.075
-4.542 -1.271 13.338
Ho Tb Er
2 10 4
Cartesian
-2.374 -2.407 -1.038
-2.271 -0.635 6.669
-3.508 -2.724 2.294
-8.068 -2.591 6.383
-4.558 0.136 4.090
-4.645 -3.043 5.631
-6.830 -0.502 10.758
-5.782 -3.361 8.969
-5.884 -5.132 1.262
-3.406 -0.953 10.001
0.000 0.000 0.000
-5.795 -1.954 -0.285
-3.422 0.452 0.750
-9.204 -2.908 9.723
-6.933 -2.273 3.053
-5.692 -0.182 7.420
```

***

Entry 11:
Below is crystalline Tb3HoEr2 at its relaxed geometry, with properties calculated at the PBE level.

Properties
SG: No. 12
Formation enthalpy at 0 K: 0.0708 eV/atom
Energy above the most stable polymorph in this dataset: 7.0 kJ/mol of atoms

POSCAR file:
```
Tb3HoEr2
1.0
-4.599 -3.178 -0.186
5.111 -2.067 -6.957
1.812 -3.144 8.912
Tb Er Ho
6 4 2
Cartesian
0.606 -1.049 2.958
-0.458 -4.478 3.743
1.718 -7.339 -1.188
2.461 -3.656 1.633
-0.137 -4.732 0.136
2.782 -3.911 -1.974
-1.998 -2.112 1.384
4.322 -6.277 0.385
-0.741 -3.683 -2.847
3.065 -4.705 4.616
1.400 -7.092 2.445
0.923 -1.297 -0.675
```

***

Entry 12:
Below is crystalline Tb4Ho3Er at its relaxed geometry, with properties calculated at the PBE level.

Properties
SG: No. 65
Formation enthalpy at 0 K: 0.1962 eV/atom
Energy above the most stable polymorph in this dataset: 18.2 kJ/mol of atoms

POSCAR file:
```
Tb4Ho3Er
1.0
-2.460 -1.639 4.740
1.694 -3.119 -0.200
11.065 5.719 4.428
Tb Ho Er
4 3 1
Cartesian
8.657 2.333 5.299
4.004 -0.199 5.301
6.294 1.159 3.667
1.642 -1.372 3.670
3.022 1.501 2.087
7.277 -0.541 6.881
0.847 -1.560 -0.100
-1.230 -0.819 2.370
```

***

- The highest formation enthalpy at 0 K belongs to which entry?
  TbHoEr5

***

- The lowest formation enthalpy at 0 K belongs to which entry?
  Tb5HoEr2

***

- Among the records above, which one has the highest formation enthalpy at 0 K?
  TbHoEr5

***

- Which formula does entry 12 have?
  Tb4Ho3Er